#i
Below is LaY2H2 at its PBEsol-relaxed geometry, with properties calculated at the meta-GGA SCAN level.

Summary:
Volume (Å³ per cell): 204.6

Geometry as CIF:
```
data_LaY2H2
_chemical_formula_sum 'La2 Y4 H4'
_cell_length_a 3.503
_cell_length_b 3.503
_cell_length_c 16.668
_cell_angle_alpha 90.00
_cell_angle_beta 90.00
_cell_angle_gamma 90.00
_symmetry_space_group_name_H-M 'I 4/m m m'
_symmetry_Int_Tables_number 139
_symmetry_space_group_name_Hall '-I 4 2'
loop_
_atom_site_label
_atom_site_type_symbol
_atom_site_fract_x
_atom_site_fract_y
_atom_site_fract_z
La1 La 0.000 0.000 0.000
Y1 Y 0.000 0.000 0.329
H1 H 0.000 0.500 0.250
```

---

#ii
Below is LaY2H2 at its PBEsol-relaxed geometry, with properties calculated at the meta-GGA SCAN level.

Summary:
Volume (Å³ per cell): 221.2

Geometry as CIF:
```
data_LaY2H2
_chemical_formula_sum 'La2 Y4 H4'
_cell_length_a 8.559
_cell_length_b 8.559
_cell_length_c 3.020
_cell_angle_alpha 90.00
_cell_angle_beta 90.00
_cell_angle_gamma 90.00
_symmetry_space_group_name_H-M 'P 4/m b m'
_symmetry_Int_Tables_number 127
_symmetry_space_group_name_Hall '-P 4 2ab'
loop_
_atom_site_label
_atom_site_type_symbol
_atom_site_fract_x
_atom_site_fract_y
_atom_site_fract_z
La1 La 0.000 0.000 0.000
Y1 Y 0.126 0.374 0.000
H1 H 0.083 0.583 0.500
```

---

Ranked by calculated energy, most stable first: #i, #ii.